1.
ScPaTlHg PBE relaxed; SG = F-43m (216); ΔH_f (0 K) = 0.12 eV per formula unit
1.0
7.375 0.000 0.000
0.000 7.375 0.000
0.000 0.000 7.375
Sc Pa Tl Hg
4 4 4 4
Direct
0.000 0.000 0.000
0.000 0.500 0.500
0.500 0.000 0.500
0.500 0.500 0.000
0.000 0.000 0.500
0.000 0.500 0.000
0.500 0.000 0.000
0.500 0.500 0.500
0.250 0.250 0.250
0.250 0.750 0.750
0.750 0.250 0.750
0.750 0.750 0.250
0.250 0.250 0.750
0.250 0.750 0.250
0.750 0.250 0.250
0.750 0.750 0.750

---

2.
PaHgSe3 PBE relaxed; SG = Pm-3m (221); energy above the most stable polymorph in this dataset = 183 meV/atom
1.0
5.487 0.000 0.000
0.000 5.487 0.000
0.000 0.000 5.487
Pa Hg Se
1 1 3
Direct
0.000 0.000 0.000
0.500 0.500 0.500
0.000 0.000 0.500
0.000 0.500 0.000
0.500 0.000 0.000